(1)
The following is a PBE calculation of a relaxed structure of Ac2SmHfO6, from Alexandria. Values from VASP.

```
&SYSTEM
  ibrav = 0, nat = 20, ntyp = 4
/
ATOMIC_SPECIES
Ac 227.00 Ac.upf
Sm 150.36 Sm.upf
Hf 178.49 Hf.upf
O 16.00 O.upf
ATOMIC_POSITIONS angstrom
Ac 0.001 0.344 2.102
Ac -2.962 2.724 6.392
Ac 3.069 3.412 2.187
Ac 0.105 5.792 6.476
Sm 3.017 0.000 0.000
Sm 0.053 3.068 4.289
Hf -2.964 0.000 4.289
Hf 0.000 3.068 0.000
O -4.892 1.274 8.131
O -1.929 1.794 3.842
O -4.163 4.195 8.113
O -1.200 5.009 3.824
O -2.324 0.247 6.293
O 0.639 2.821 2.004
O -0.533 3.315 6.575
O 2.430 5.889 2.286
O 1.306 1.127 4.754
O 4.270 1.941 0.465
O 2.035 4.342 4.737
O 4.999 4.862 0.447
CELL_PARAMETERS angstrom
6.033 0.000 0.000
0.000 6.136 0.000
-5.927 0.000 8.578
```

Density: 9.19 Mg/m³
Magnetization: 0.00 Bohr magnetons per cell
Space group: P2_1/c (14)
Raw total energy: -8.512 eV/atom

=====

(2)
The following is a PBE calculation of a relaxed structure of BeH12N4Cl2, from Alexandria. Values from VASP.

```
&SYSTEM
  ibrav = 0, nat = 76, ntyp = 4
/
ATOMIC_SPECIES
Be 9.01 Be.upf
H 1.01 H.upf
N 14.01 N.upf
Cl 35.45 Cl.upf
ATOMIC_POSITIONS angstrom
Be 2.352 0.786 0.000
Be 2.468 6.814 3.430
Be 7.171 5.242 0.000
Be 7.287 11.271 3.430
H 0.097 0.159 6.651
H 0.243 1.646 0.503
H 0.438 1.500 5.725
H 0.639 7.477 2.210
H 0.919 7.882 4.822
H 1.490 4.646 3.324
H 1.552 6.415 1.318
H 1.738 10.637 0.280
H 1.957 5.002 4.855
H 2.036 7.987 1.460
H 2.194 8.861 4.386
H 2.406 1.733 2.141
H 2.413 7.761 5.571
H 2.626 2.833 0.956
H 2.784 1.959 4.890
H 2.863 11.030 1.425
H 3.081 4.609 3.710
H 3.267 0.387 4.748
H 3.330 10.674 6.754
H 3.901 1.854 1.392
H 4.181 1.449 5.640
H 4.381 7.529 2.295
H 4.577 7.674 3.933
H 4.722 6.187 3.221
H 4.917 5.870 6.651
H 5.062 4.382 0.503
H 5.258 4.528 5.725
H 5.458 10.607 2.210
H 5.738 10.202 4.822
H 6.309 1.383 3.324
H 6.372 11.670 1.318
H 6.558 7.447 0.280
H 6.777 1.027 4.855
H 6.855 10.098 1.460
H 7.013 9.224 4.386
H 7.226 4.295 2.141
H 7.233 10.324 5.571
H 7.445 3.195 0.956
H 7.603 4.070 4.890
H 7.682 7.055 1.425
H 7.901 1.419 3.710
H 8.087 5.642 4.748
H 8.150 7.411 6.754
H 8.720 4.174 1.392
H 9.000 4.579 5.640
H 9.201 10.556 2.295
H 9.396 10.410 3.933
H 9.542 11.898 3.221
N 0.634 1.043 6.632
N 1.610 7.213 1.980
N 1.935 7.898 4.668
N 2.208 5.149 3.859
N 2.611 11.177 0.429
N 2.885 1.870 1.238
N 3.210 1.184 5.410
N 4.185 7.071 3.202
N 5.454 4.985 6.632
N 6.430 10.872 1.980
N 6.754 10.187 4.668
N 7.028 0.879 3.859
N 7.431 6.908 0.429
N 7.705 4.159 1.238
N 8.029 4.844 5.410
N 9.005 11.013 3.202
Cl 0.415 2.130 3.448
Cl 1.352 4.555 0.128
Cl 3.468 10.583 3.558
Cl 4.404 8.158 0.018
Cl 5.235 3.898 3.448
Cl 6.171 1.474 0.128
Cl 8.287 7.502 3.558
Cl 9.224 9.926 0.018
CELL_PARAMETERS angstrom
9.639 0.000 0.000
0.000 12.056 0.000
0.000 0.000 6.860
```

Density: 1.23 Mg/m³
Magnetization: 0.80 Bohr magnetons per cell
Space group: Pna2_1 (33)
Raw total energy: -4.938 eV/atom

=====

(3)
The following is a PBE calculation of a relaxed structure of Y2PtS2, from Alexandria. Values from VASP.

```
&SYSTEM
  ibrav = 0, nat = 10, ntyp = 3
/
ATOMIC_SPECIES
Y 88.91 Y.upf
Pt 195.08 Pt.upf
S 32.06 S.upf
ATOMIC_POSITIONS angstrom
Y 1.269 2.503 0.000
Y 2.503 6.275 0.000
Y 5.042 1.269 0.000
Y 6.275 5.042 0.000
Pt 0.000 0.000 1.736
Pt 3.772 3.772 1.736
S 1.042 4.814 1.736
S 2.730 1.042 1.736
S 4.814 6.503 1.736
S 6.503 2.730 1.736
CELL_PARAMETERS angstrom
7.544 0.000 0.000
0.000 7.544 0.000
0.000 0.000 3.471
```

Density: 7.35 Mg/m³
Magnetization: 0.00 Bohr magnetons per cell
E above lowest polymorph: 3 meV per atom
Space group: P4/mbm (127)

=====

(4)
The following is a PBE calculation of a relaxed structure of Ac5La6Nd, from Alexandria. Values from VASP.

```
&SYSTEM
  ibrav = 0, nat = 12, ntyp = 3
/
ATOMIC_SPECIES
Ac 227.00 Ac.upf
La 138.91 La.upf
Nd 144.24 Nd.upf
ATOMIC_POSITIONS angstrom
Ac 0.000 0.000 0.000
Ac 2.725 0.000 2.717
Ac 0.000 0.000 5.488
Ac 0.000 0.000 10.823
Ac 0.000 5.400 5.439
La 2.725 -2.678 5.455
La 2.725 2.730 0.000
La 0.000 2.722 2.701
La 2.725 2.678 5.455
La 0.000 2.671 8.155
La 0.000 8.079 2.701
Nd 0.000 5.400 0.000
CELL_PARAMETERS angstrom
-2.725 5.400 8.155
2.725 -5.400 8.155
2.725 5.400 -8.155
```

Density: 7.31 Mg/m³
Magnetization: 0.00 Bohr magnetons per cell
ΔE_f: 0.021 eV/atom
Space group: Immm (71)

=====

(5)
The following is a PBE calculation of a relaxed structure of YSiIr2, from Alexandria. Values from VASP.

```
&SYSTEM
  ibrav = 0, nat = 4, ntyp = 3
/
ATOMIC_SPECIES
Y 88.91 Y.upf
Si 28.09 Si.upf
Ir 192.22 Ir.upf
ATOMIC_POSITIONS angstrom
Y 0.000 0.000 0.000
Si 0.000 2.113 2.100
Ir 1.761 0.000 2.440
Ir 0.000 0.000 4.887
CELL_PARAMETERS angstrom
-1.761 2.113 4.568
1.761 -2.113 4.568
1.761 2.113 -4.568
```

Density: 12.25 Mg/m³
Magnetization: 0.00 Bohr magnetons per cell
Space group: Imm2 (44)
Raw total energy: -7.831 eV/atom

=====

(6)
The following is a PBE calculation of a relaxed structure of Li2Hf3Te6, from Alexandria. Values from VASP.

```
&SYSTEM
  ibrav = 0, nat = 11, ntyp = 3
/
ATOMIC_SPECIES
Li 6.94 Li.upf
Hf 178.49 Hf.upf
Te 127.60 Te.upf
ATOMIC_POSITIONS angstrom
Li 3.457 3.996 0.000
Li 3.457 -3.996 0.000
Hf -1.156 0.000 3.608
Hf 2.301 2.013 3.608
Hf 2.301 -2.013 3.608
Te 0.005 1.981 5.389
Te 1.166 0.000 1.840
Te 0.005 -1.981 5.389
Te 4.597 1.981 1.828
Te 3.436 0.000 5.377
Te 4.597 -1.981 1.828
CELL_PARAMETERS angstrom
3.457 -5.989 0.000
3.457 5.989 0.000
-2.312 0.000 7.216
```

Density: 7.31 Mg/m³
Magnetization: 0.00 Bohr magnetons per cell
Space group: C2/m (12)
Raw total energy: -5.620 eV/atom

=====

Which of these has the lowest density? BeH12N4Cl2

=====

Look up the density of the sixth one. 7.31 Mg/m³